(1)
The following is a DFT calculation (GGA-PBE) of a relaxed structure of K2Hg2OsO6.

```
K2Hg2OsO6
1.0
3.210 -5.863 0.000
3.210 5.863 0.000
-1.292 0.000 6.364
K Hg Os O
2 2 1 6
direct
0.167 0.833 0.000
0.833 0.167 0.000
0.376 0.624 0.500
0.624 0.376 0.500
0.500 0.500 0.000
0.231 0.231 0.861
0.296 0.558 0.181
0.442 0.704 0.819
0.558 0.296 0.181
0.704 0.442 0.819
0.769 0.769 0.139
```

Properties
formation energy (no corrections): -974.5 meV per atom

***

(2)
The following is a DFT calculation (GGA-PBE) of a relaxed structure of PuBiPd2.

```
PuBiPd2
1.0
4.455 0.000 0.000
0.000 3.925 0.000
0.000 0.000 10.326
Pu Bi Pd
2 2 4
direct
0.000 0.247 0.000
0.000 0.753 0.500
0.500 0.248 0.279
0.500 0.752 0.779
0.000 0.253 0.724
0.000 0.747 0.224
0.500 0.253 0.557
0.500 0.747 0.057
```

Properties
D(E_F): 29.50 states/eV/cell
energy above the lowest structure with this stoichiometry: 4.3 kJ/mol of atoms
formation energy from the elements: -1.56 eV per formula unit

***

(3)
The following is a DFT calculation (GGA-PBE) of a relaxed structure of CsMg2BiIr.

```
CsMg2BiIr
1.0
5.553 0.000 0.000
0.000 5.553 0.000
0.000 0.000 7.562
Cs Mg Bi Ir
1 2 1 1
direct
0.000 0.000 0.000
0.000 0.500 0.500
0.500 0.000 0.500
0.000 0.000 0.500
0.500 0.500 0.000
```

Properties
D(E_F): 4.07 states/eV/cell
formation energy from the elements: 5.56 eV per formula unit

***

(4)
The following is a DFT calculation (GGA-PBE) of a relaxed structure of BaGaGePt2.

```
BaGaGePt2
1.0
-2.260 2.260 5.522
2.260 -2.260 5.522
2.260 2.260 -5.522
Ba Ga Ge Pt
1 1 1 2
direct
0.000 0.000 0.000
0.646 0.646 0.000
0.357 0.357 0.000
0.253 0.753 0.500
0.753 0.253 0.500
```

Properties
D(E_F): 3.38 states/eV/cell
formation energy from the elements: -3.69 eV per formula unit

***

(5)
The following is a DFT calculation (GGA-PBE) of a relaxed structure of BePb.

```
BePb
1.0
3.874 0.000 0.000
-1.936 3.357 0.000
-1.816 -1.133 6.807
Be Pb
2 2
direct
0.167 0.333 0.000
0.833 0.667 0.000
0.340 0.914 0.748
0.660 0.086 0.252
```

Properties
D(E_F): 0.89 states/eV/cell
energy above the lowest structure with this stoichiometry: 0.0 kJ/mol of atoms
formation energy from the elements: 0.61 eV per formula unit

***

(6)
The following is a DFT calculation (GGA-PBE) of a relaxed structure of CsRb2PuO5.

```
CsRb2PuO5
1.0
-2.193 3.367 6.449
2.193 -3.367 6.449
2.193 3.367 -6.449
Cs Rb Pu O
1 2 1 5
direct
0.000 0.000 0.000
0.273 0.773 0.500
0.727 0.227 0.500
0.500 0.500 0.000
0.188 0.392 0.796
0.405 0.608 0.796
0.500 0.000 0.500
0.595 0.392 0.204
0.812 0.608 0.204
```

Properties
formation energy (no corrections): -2122.0 meV per atom

***

(7)
The following is a DFT calculation (GGA-PBE) of a relaxed structure of ZrZn2Mo.

```
ZrZn2Mo
1.0
4.068 0.000 0.000
0.000 4.068 0.000
0.000 0.000 4.015
Zr Zn Mo
1 2 1
direct
0.000 0.000 0.000
0.000 0.500 0.500
0.500 0.000 0.500
0.500 0.500 0.000
```

Properties
D(E_F): 2.86 states/eV/cell
energy above the lowest structure with this stoichiometry: 4.2 kJ/mol of atoms
formation energy from the elements: -0.20 eV per formula unit

***

(8)
The following is a DFT calculation (GGA-PBE) of a relaxed structure of PaCd2Cu.

```
PaCd2Cu
1.0
1.498 0.865 11.081
-1.498 0.865 11.081
0.000 -1.730 11.081
Pa Cd Cu
1 2 1
direct
0.000 0.000 0.000
0.100 0.100 0.100
0.900 0.900 0.900
0.500 0.500 0.500
```

Properties
D(E_F): 3.95 states/eV/cell
energy above the lowest structure with this stoichiometry: 21.9 kJ/mol of atoms
formation energy from the elements: 1.28 eV per formula unit

***

(9)
The following is a DFT calculation (GGA-PBE) of a relaxed structure of Mg3AlSi.

```
Mg3AlSi
1.0
5.007 0.000 0.000
0.000 5.007 0.000
0.000 0.000 5.007
Mg Al Si
3 1 1
direct
0.000 0.000 0.500
0.000 0.500 0.000
0.500 0.000 0.000
0.500 0.500 0.500
0.000 0.000 0.000
```

Properties
D(E_F): 2.40 states/eV/cell
energy above the lowest structure with this stoichiometry: 0.0 kJ/mol of atoms
formation energy (no corrections): 345.1 meV per atom

***

(10)
The following is a DFT calculation (GGA-PBE) of a relaxed structure of SmBS2.

```
SmBS2
1.0
1.642 0.948 7.832
-1.642 0.948 7.832
0.000 -1.896 7.832
Sm B S
1 1 2
direct
0.000 0.000 0.000
0.500 0.500 0.500
0.118 0.118 0.118
0.882 0.882 0.882
```

Properties
D(E_F): 1.28 states/eV/cell
formation energy (no corrections): 122.9 meV per atom

***

(11)
The following is a DFT calculation (GGA-PBE) of a relaxed structure of BaMg5Tl6.

```
BaMg5Tl6
1.0
8.408 -3.877 0.000
8.408 3.877 0.000
-1.327 0.000 5.050
Ba Mg Tl
1 5 6
direct
0.000 0.000 0.000
0.171 0.171 0.658
0.326 0.326 0.319
0.500 0.500 0.000
0.674 0.674 0.681
0.829 0.829 0.342
0.093 0.563 0.828
0.286 0.714 0.500
0.437 0.907 0.172
0.563 0.093 0.828
0.714 0.286 0.500
0.907 0.437 0.172
```

Properties
D(E_F): 5.15 states/eV/cell
formation energy from the elements: -1.15 eV per formula unit

***

(12)
The following is a DFT calculation (GGA-PBE) of a relaxed structure of K2CeScTe4.

```
K2CeScTe4
1.0
7.777 0.000 0.000
0.000 4.484 0.000
-2.577 0.000 8.219
K Ce Sc Te
2 1 1 4
direct
0.000 0.000 0.000
0.500 0.500 0.000
0.000 0.500 0.500
0.500 0.000 0.500
0.254 0.000 0.710
0.283 0.500 0.299
0.717 0.500 0.701
0.746 0.000 0.290
```

Properties
D(E_F): 6.62 states/eV/cell
formation energy (no corrections): -1282.6 meV per atom

***

What is the formula in the sixth record?
CsRb2PuO5